DFT (GGA-PBE) results for a geometry-optimized MnZn2Au3 structure.

Results
total moment: 4.06 μB per formula unit
D(E_F): 1.92 states/eV/cell
symmetry: P4/mmm (123)
calculated density: 13.14 Mg/m³
energy of formation: -0.156 eV/atom

POSCAR file:
```
MnZn2Au3
1.0
3.170 0.000 0.000
0.000 3.170 0.000
0.000 0.000 9.768
Mn Zn Au
1 2 3
Direct
0.000 0.000 0.000
0.000 0.000 0.333
0.000 0.000 0.667
0.500 0.500 0.169
0.500 0.500 0.500
0.500 0.500 0.831
```